Entry 1:
Ho5Th3 (PBE, relaxed); raw total energy = -5.6049 eV per atom; space group = Pmm2 (25); relative energy among the computed polymorphs = 1.0 kJ per mole of atoms; crystal system = orthorhombic; ΔE_f = 4 kJ/mol of atoms
1.0
-0.6461 -3.1557 1.5270
-1.9798 -2.0313 -5.0357
11.4514 -3.7843 -2.9757
Th Ho
3 5
Direct
0.0000 0.5000 0.7870 Th
0.5000 0.0000 0.7100 Th
0.5000 0.5000 0.5456 Th
0.5000 0.0000 0.2069 Ho
0.0000 0.0000 0.9572 Ho
0.5000 0.5000 0.0420 Ho
0.0000 0.0000 0.4572 Ho
0.0000 0.5000 0.2940 Ho



Entry 2:
NbGeAu3 (PBE, relaxed); raw total energy = -4.1527 eV per atom; space group = Pm-3m (221); relative energy among the computed polymorphs = 0.0 kJ per mole of atoms; crystal system = cubic; ΔE_f = 72 kJ/mol of atoms
1.0
-1.1487 -4.6672 -0.3256
4.6093 -1.1864 0.7450
-0.8019 -0.1339 4.7484
Au Nb Ge
3 1 1
Direct
0.0000 0.0000 0.5000 Au
0.0000 0.5000 0.0000 Au
0.5000 0.0000 0.0000 Au
0.5000 0.5000 0.5000 Nb
0.0000 0.0000 0.0000 Ge



Entry 3:
MnSiBCl2 (PBE, relaxed); raw total energy = -3.7219 eV per atom; space group = P4/mmm (123); crystal system = tetragonal; energy relative to the elements, uncorrected = 6.35 eV per formula unit
1.0
4.3257 0.0000 0.0000
0.0000 4.1739 0.0000
0.0000 0.0000 4.3257
Cl Si Mn B
2 1 1 1
Direct
0.0000 0.0000 0.5000 Cl
0.5000 0.0000 0.0000 Cl
0.5000 0.5000 0.5000 Si
0.0000 0.5000 0.0000 Mn
0.0000 0.0000 0.0000 B



Entry 4:
LiCrRu2 (PBE, relaxed); raw total energy = -7.2281 eV per atom; space group = F-43m (216); relative energy among the computed polymorphs = 20.9 kJ per mole of atoms; crystal system = cubic; ΔE_f = 28 kJ/mol of atoms
1.0
-2.1292 1.4754 -3.3369
-3.6569 -1.7871 -1.1306
-3.6319 2.0822 0.5642
Cr Li Ru
1 1 2
Direct
0.5000 0.5000 0.5000 Cr
0.7500 0.7500 0.7500 Li
0.0000 0.0000 0.0000 Ru
0.2500 0.2500 0.2500 Ru



Entry 5:
KAl2Ni (PBE, relaxed); raw total energy = -3.1852 eV per atom; space group = Imm2 (44); relative energy among the computed polymorphs = 51.2 kJ per mole of atoms; crystal system = orthorhombic; ΔE_f = 39 kJ/mol of atoms
1.0
6.0859 -0.0924 0.0543
3.0451 5.2702 -0.0543
-3.7051 -4.1062 2.5420
Al Ni K
2 1 1
Direct
0.7886 0.2886 0.5000 Al
0.0248 0.0248 0.0000 Al
0.2040 0.7040 0.5000 Ni
0.4825 0.4825 0.0000 K



Entry 6:
ZrCuRu2 (PBE, relaxed); raw total energy = -7.8731 eV per atom; space group = P4/mmm (123); crystal system = tetragonal; ΔE_f = -7 kJ/mol of atoms
1.0
-2.9413 1.3753 0.0245
-1.2792 -2.7136 -1.2422
-0.9126 -2.0481 5.4138
Ru Zr Cu
2 1 1
Direct
0.0000 0.0000 0.9743 Ru
0.0000 0.0000 0.5257 Ru
0.5000 0.5000 0.2500 Zr
0.5000 0.5000 0.7500 Cu



Entry 7:
PuZrNb2 (PBE, relaxed); raw total energy = -10.5588 eV per atom; space group = P4/mmm (123); relative energy among the computed polymorphs = 0.0 kJ per mole of atoms; crystal system = tetragonal; ΔE_f = 19 kJ/mol of atoms
1.0
-2.0926 -2.3945 1.2435
1.3218 -2.2817 -2.1692
4.8047 -1.7323 4.7499
Nb Zr Pu
2 1 1
Direct
0.0000 0.0000 0.2328 Nb
0.0000 0.0000 0.7672 Nb
0.5000 0.5000 0.5000 Zr
0.5000 0.5000 0.0000 Pu



Entry 8:
LiW2Cl8 (PBE, relaxed); raw total energy = -4.7029 eV per atom; space group = C2/m (12); crystal system = monoclinic; energy relative to the elements, uncorrected = -9.14 eV per formula unit
1.0
-6.3086 1.5209 -1.7361
-3.1605 -3.3335 -6.8092
-5.3239 -6.1021 -1.3735
W Li Cl
2 1 8
Direct
0.4917 0.2533 0.2533 W
0.5083 0.7467 0.7467 W
0.0000 0.0000 0.0000 Li
0.5117 0.3709 0.8790 Cl
0.0884 0.3487 0.3487 Cl
0.5117 0.8790 0.3709 Cl
0.4883 0.6291 0.1210 Cl
0.9116 0.6513 0.6513 Cl
0.0893 0.8333 0.8333 Cl
0.9107 0.1667 0.1667 Cl
0.4883 0.1210 0.6291 Cl



Entry 9:
Tb4Ho4Mg (PBE, relaxed); raw total energy = -4.2451 eV per atom; space group = I4/mmm (139); relative energy among the computed polymorphs = 0.9 kJ per mole of atoms; crystal system = tetragonal; ΔE_f = 2 kJ/mol of atoms
1.0
-4.8105 0.8155 1.1311
-1.3751 -2.7375 7.2145
-0.6124 7.0264 3.4187
Tb Ho Mg
4 4 1
Direct
0.6667 0.3333 0.3333 Tb
0.0000 0.3333 0.6667 Tb
0.3333 0.6667 0.6667 Tb
0.0000 0.6667 0.3333 Tb
0.6665 0.0000 0.6670 Ho
0.3335 0.0000 0.3330 Ho
0.3335 0.3330 0.0000 Ho
0.6665 0.6670 0.0000 Ho
0.0000 0.0000 0.0000 Mg



Entry 10:
BC2 (PBE, relaxed); raw total energy = -8.0799 eV per atom; space group = Cm (8); relative energy among the computed polymorphs = 5.3 kJ per mole of atoms; crystal system = monoclinic; ΔE_f = 28 kJ/mol of atoms
1.0
-5.8294 1.2571 -0.5446
-5.2769 0.0969 -2.8291
-0.0623 -4.5855 2.3137
C B
8 4
Direct
0.6617 0.6617 0.3326 C
0.3283 0.3283 0.6766 C
0.3283 0.3283 0.1515 C
0.5866 0.5866 0.5447 C
0.0090 0.0090 0.5080 C
0.6682 0.6682 0.8322 C
0.5909 0.5909 0.0436 C
0.2509 0.2509 0.8748 C
0.2516 0.2516 0.3760 B
0.9041 0.9041 0.2315 B
0.9032 0.9032 0.6701 B
0.0173 0.0173 0.0086 B



Among the records above, which one has the lowest raw total energy? PuZrNb2